The following is a DFT calculation (GGA-PBE) of a geometry-optimized SbBr6N2 structure.

- Magnetization: 6.3 μB/f.u.
- Formation energy from raw total energies: 0.994 eV/atom
- VASP energy: -2.4292 eV per atom

CIF file:
```
data_SbBr6N2
_chemical_formula_sum 'Sb4 Br24 N8'
_symmetry_space_group_name_H-M 'F m -3 m'
_symmetry_Int_Tables_number 225
_symmetry_space_group_name_Hall '-F 4 2 3'
_cell_length_a 10.803
_cell_length_b 10.803
_cell_length_c 10.803
_cell_angle_alpha 90.00
_cell_angle_beta 90.00
_cell_angle_gamma 90.00
loop_
_atom_site_label
_atom_site_type_symbol
_atom_site_fract_x
_atom_site_fract_y
_atom_site_fract_z
Sb1 Sb 0.000 0.000 0.000
Br1 Br 0.000 0.000 0.240
N1 N 0.250 0.250 0.250
```